Density functional theory data (PBE-GGA) for a geometry-optimized CeEr4N5 structure.

Cell: 5.9820 5.9820 5.9820 Å, 99.58 99.58 131.84°
Element x y z (fractional)
Ce (0.0000, 0.0000, 0.0000)
Er (0.1977, 0.4000, 0.5977)
Er (0.4000, 0.8023, 0.2023)
Er (0.6000, 0.1977, 0.7977)
Er (0.8023, 0.6000, 0.4023)
N (0.0986, 0.6997, 0.7983)
N (0.3003, 0.0986, 0.3989)
N (0.5000, 0.5000, 0.0000)
N (0.6997, 0.9014, 0.6011)
N (0.9014, 0.3003, 0.2017)

Properties
Energy   -83.01 eV per formula unit
Space group   I4/m, No. 87
Raw formation energy   -165.9 kJ per mole of atoms
Crystal system   tetragonal